Entry P
# Tl2Pd2Br

Crystalline Tl2Pd2Br at its relaxed geometry (PBE, Alexandria).

a b c (Å): 7.8096 7.8096 3.6445
angles (deg): 90.00 90.00 90.00
Element x y z (fractional)
Pd (0.3707, 0.8707, 0.0000)
Pd (0.1293, 0.3707, 0.0000)
Pd (0.6293, 0.1293, 0.0000)
Pd (0.8707, 0.6293, 0.0000)
Tl (0.3312, 0.1688, 0.5000)
Tl (0.1688, 0.6688, 0.5000)
Tl (0.8312, 0.3312, 0.5000)
Tl (0.6688, 0.8312, 0.5000)
Br (0.5000, 0.5000, 0.0000)
Br (0.0000, 0.0000, 0.0000)

N(E_F) (states/eV per cell): 4.369
SG: P4/mbm (127)

=====

Entry Q
# Tl2Pd2Br

Crystalline Tl2Pd2Br at its relaxed geometry (PBE, Alexandria).

a b c (Å): 8.5278 8.5278 3.1147
angles (deg): 90.00 90.00 90.00
Element x y z (fractional)
Pd (0.1147, 0.6147, 0.5000)
Pd (0.3853, 0.1147, 0.5000)
Pd (0.8853, 0.3853, 0.5000)
Pd (0.6147, 0.8853, 0.5000)
Tl (0.6803, 0.1803, 0.0000)
Tl (0.8197, 0.6803, 0.0000)
Tl (0.1803, 0.3197, 0.0000)
Tl (0.3197, 0.8197, 0.0000)
Br (0.0000, 0.0000, 0.0000)
Br (0.5000, 0.5000, 0.0000)

N(E_F) (states/eV per cell): 3.120
SG: P4/mbm (127)

=====

Entry R
# Tl2Pd2Br

Crystalline Tl2Pd2Br at its relaxed geometry (PBE, Alexandria).

a b c (Å): 3.8604 3.8604 8.8483
angles (deg): 77.40 77.40 90.00
Element x y z (fractional)
Pd (0.2500, 0.7500, 0.5000)
Pd (0.7500, 0.2500, 0.5000)
Tl (0.6184, 0.6184, 0.7632)
Tl (0.3816, 0.3816, 0.2368)
Br (0.0000, 0.0000, 0.0000)

N(E_F) (states/eV per cell): 5.923
SG: I4/mmm (139)

=====

Of them, the most stable is entry P and the least stable is entry Q.

=====

Entry P
# TlPdBr6

Crystalline TlPdBr6 at its relaxed geometry (PBE, Alexandria).

a b c (Å): 6.7587 8.0174 6.8903
angles (deg): 106.98 98.43 126.22
Element x y z (fractional)
Br (0.4921, 0.7450, 0.0000)
Br (0.8470, 0.5633, 0.6988)
Br (0.1530, 0.4367, 0.3012)
Br (0.5079, 0.2550, 0.0000)
Br (0.1483, 0.8645, 0.3012)
Br (0.8517, 0.1355, 0.6988)
Tl (0.0000, 0.0000, 0.0000)
Pd (0.0000, 0.5000, 0.0000)

N(E_F) (states/eV per cell): 7.579
SG: C2/m (12)

=====

Entry Q
# TlPdBr6

Crystalline TlPdBr6 at its relaxed geometry (PBE, Alexandria).

a b c (Å): 6.8185 6.8187 7.3234
angles (deg): 62.27 62.27 60.02
Element x y z (fractional)
Br (0.3902, 0.7822, 0.7659)
Br (0.9383, 0.6098, 0.2341)
Br (0.7822, 0.0616, 0.7659)
Br (0.6098, 0.2178, 0.2341)
Br (0.0617, 0.3902, 0.7659)
Br (0.2178, 0.9384, 0.2341)
Tl (0.5000, 0.5000, 0.5000)
Pd (0.0000, 0.0000, 0.0000)

N(E_F) (states/eV per cell): 4.380
SG: R-3 (148)

=====

Of them, the most stable is entry P and the least stable is entry Q.

=====

Entry P
# Tl2PdBr8

Crystalline Tl2PdBr8 at its relaxed geometry (PBE, Alexandria).

a b c (Å): 8.8190 10.6019 10.9552
angles (deg): 77.53 66.27 65.42
Element x y z (fractional)
Br (0.7124, 0.9482, 0.2118)
Br (0.8528, 0.2883, 0.0112)
Br (0.6839, 0.4369, 0.7347)
Br (0.8555, 0.0631, 0.7653)
Br (0.1445, 0.9369, 0.2347)
Br (0.2876, 0.0518, 0.7882)
Br (0.3306, 0.7558, 0.5664)
Br (0.8724, 0.5518, 0.2882)
Br (0.3472, 0.2558, 0.0664)
Br (0.1276, 0.4482, 0.7118)
Br (0.6694, 0.2442, 0.4336)
Br (0.8477, 0.7883, 0.5112)
Br (0.3161, 0.5631, 0.2653)
Br (0.1523, 0.2117, 0.4888)
Br (0.6528, 0.7442, 0.9336)
Br (0.1472, 0.7117, 0.9888)
Pd (0.0024, 0.7500, 0.2500)
Pd (0.9976, 0.2500, 0.7500)
Tl (0.1706, 0.1310, 0.0367)
Tl (0.3383, 0.3690, 0.4633)
Tl (0.6617, 0.6310, 0.5367)
Tl (0.8294, 0.8690, 0.9633)

SG: C2/c (15)

=====

Entry Q
# Tl2PdBr8

Crystalline Tl2PdBr8 at its relaxed geometry (PBE, Alexandria).

a b c (Å): 7.9162 7.9587 7.9587
angles (deg): 69.84 95.14 95.14
Element x y z (fractional)
Br (0.3680, 0.8027, 0.8027)
Br (0.1298, 0.3080, 0.9215)
Br (0.8702, 0.6920, 0.0785)
Br (0.8702, 0.0785, 0.6920)
Br (0.1298, 0.9215, 0.3080)
Br (0.2447, 0.4244, 0.4244)
Br (0.7553, 0.5756, 0.5756)
Br (0.6320, 0.1973, 0.1973)
Tl (0.6767, 0.7594, 0.7594)
Tl (0.3233, 0.2406, 0.2406)
Pd (0.0000, 0.0000, 0.0000)

SG: C2/m (12)

=====

Of them, the most stable is entry Q and the least stable is entry P.

=====

Entry P
# Tl3PdBr

Crystalline Tl3PdBr at its relaxed geometry (PBE, Alexandria).

a b c (Å): 5.9887 5.9887 5.9887
angles (deg): 90.00 90.00 90.00
Element x y z (fractional)
Tl (0.0000, 0.5000, 0.0000)
Tl (0.5000, 0.0000, 0.0000)
Tl (0.0000, 0.0000, 0.5000)
Pd (0.5000, 0.5000, 0.5000)
Br (0.0000, 0.0000, 0.0000)

N(E_F) (states/eV per cell): 1.428
SG: Pm-3m (221)

=====

Entry Q
# Tl3PdBr

Crystalline Tl3PdBr at its relaxed geometry (PBE, Alexandria).

a b c (Å): 5.4007 5.4007 5.4007
angles (deg): 90.00 90.00 90.00
Element x y z (fractional)
Pd (0.0000, 0.0000, 0.0000)
Tl (0.0000, 0.5000, 0.0000)
Tl (0.0000, 0.0000, 0.5000)
Tl (0.5000, 0.0000, 0.0000)
Br (0.5000, 0.5000, 0.5000)

N(E_F) (states/eV per cell): 0.995
SG: Pm-3m (221)

=====

Of them, the most stable is entry Q and the least stable is entry P.

=====

Entry P
# Tl2PdBr

Crystalline Tl2PdBr at its relaxed geometry (PBE, Alexandria).

a b c (Å): 5.3410 5.3410 5.3410
angles (deg): 60.00 60.00 60.00
Element x y z (fractional)
Tl (0.2500, 0.2500, 0.2500)
Tl (0.7500, 0.7500, 0.7500)
Br (0.0000, 0.0000, 0.0000)
Pd (0.5000, 0.5000, 0.5000)

N(E_F) (states/eV per cell): 1.623
SG: Fm-3m (225)

=====

Entry Q
# Tl2PdBr

Crystalline Tl2PdBr at its relaxed geometry (PBE, Alexandria).

a b c (Å): 6.5666 6.5666 8.4892
angles (deg): 67.25 67.25 90.00
Element x y z (fractional)
Tl (0.0557, 0.6250, 0.2500)
Tl (0.8750, 0.9443, 0.7500)
Tl (0.3750, 0.3057, 0.7500)
Tl (0.6943, 0.1250, 0.2500)
Br (0.2500, 0.7500, 0.5000)
Br (0.5000, 0.5000, 0.0000)
Pd (0.0000, 0.0000, 0.0000)
Pd (0.7500, 0.2500, 0.5000)

N(E_F) (states/eV per cell): 1.003
SG: I-42d (122)

=====

Of them, the most stable is entry Q and the least stable is entry P.

=====

Entry P
# VPdBr2

Crystalline VPdBr2 at its relaxed geometry (PBE, Alexandria).

a b c (Å): 4.7724 4.7724 4.7724
angles (deg): 60.00 60.00 60.00
Element x y z (fractional)
Pd (0.5000, 0.5000, 0.5000)
V (0.0000, 0.0000, 0.0000)
Br (0.7500, 0.7500, 0.7500)
Br (0.2500, 0.2500, 0.2500)

N(E_F) (states/eV per cell): 2.587
SG: Fm-3m (225)

=====

Entry Q
# VPdBr2

Crystalline VPdBr2 at its relaxed geometry (PBE, Alexandria).

a b c (Å): 8.2094 8.2094 8.2094
angles (deg): 26.36 26.36 26.36
Element x y z (fractional)
V (0.5000, 0.5000, 0.5000)
Pd (0.0000, 0.0000, 0.0000)
Br (0.8959, 0.8959, 0.8959)
Br (0.1041, 0.1041, 0.1041)

N(E_F) (states/eV per cell): 0.270
SG: R-3m (166)

=====

Of them, the most stable is entry Q and the least stable is entry P.